The following is a DFT calculation (PBE) of TaNi2TeSe after structural relaxation.

Cell: 6.4896 3.5030 16.4549 Å, 90.00 90.00 90.00°
Space group Pnma (No. 62)
Unique sites:
Ta: 0.0926 0.2500 0.2209 x4
Ni: 0.1041 0.2500 0.6803 x4
Ni: 0.2140 0.2500 0.8207 x4
Te: 0.0900 0.2500 0.4031 x4
Se: 0.0908 0.7500 0.0988 x4

The following is a DFT calculation (PBE) of ScAg2Ge after structural relaxation.

Cell: 6.6617 6.6617 6.6617 Å, 90.00 90.00 90.00°
Space group F-43m (No. 216)
Unique sites:
Sc: 0.0000 0.0000 0.0000 x4
Ag: 0.0000 0.0000 0.5000 x4
Ag: 0.2500 0.2500 0.2500 x4
Ge: 0.2500 0.2500 0.7500 x4

The following is a DFT calculation (PBE) of PuHfIr after structural relaxation.

Cell: 6.4694 6.4694 6.4694 Å, 90.00 90.00 90.00°
Space group F-43m (No. 216)
Unique sites:
Pu: 0.0000 0.0000 0.0000 x4
Hf: 0.0000 0.0000 0.5000 x4
Ir: 0.2500 0.2500 0.7500 x4

Summary:
formation energy from the elements = -0.346 eV/atom
ΔE to the lowest computed polymorph = 0 meV per atom

The following is a DFT calculation (PBE) of SrAgNO after structural relaxation.

Cell: 3.8463 5.7206 5.8728 Å, 90.00 90.00 90.00°
Space group Pmc2_1 (No. 26)
Unique sites:
Sr: 0.0000 0.1679 0.0000 x2
Ag: 0.5000 0.3134 0.5202 x2
N: 0.0000 0.3815 0.5614 x2
O: 0.5000 0.0383 0.2645 x2

Summary:
ΔE to the lowest computed polymorph = 50 meV per atom

The total DFT energy (no corrections) results, record by record, are as follows: -127.89, -70.79, -135.90, -38.53 eV for the cell shown.